Record 1
Compound: SbP2Br
Source: the Alexandria database
Functional: PBEsol
Structure: relaxed

Unit cell a=7.034 b=7.034 c=7.034 alpha=148.76 beta=148.08 gamma=45.27
Sites, in units of the cell vectors:
Sb 0.000 0.000 0.000
P 0.333 0.833 0.500
P 0.432 0.432 0.000
Br 0.672 0.172 0.500

Values from the calculation:
E = -4.32 eV/atom
Formation energy (no corrections) = 0.185 eV per atom
Space group = Imm2 (44)


Record 2
Compound: SbP2Br
Source: the Alexandria database
Functional: PBEsol
Structure: relaxed

Unit cell a=3.768 b=3.768 c=6.424 alpha=90.00 beta=90.00 gamma=90.00
Sites, in units of the cell vectors:
Sb 0.000 0.000 0.000
P 0.500 0.500 0.171
P 0.500 0.500 0.829
Br 0.000 0.000 0.500

Values from the calculation:
E = -4.14 eV/atom
Formation energy (no corrections) = 0.362 eV per atom
Space group = P4/mmm (123)


Record 3
Compound: SbP2Br
Source: the Alexandria database
Functional: PBEsol
Structure: relaxed

Unit cell a=4.790 b=4.790 c=4.790 alpha=60.00 beta=60.00 gamma=60.00
Sites, in units of the cell vectors:
Sb 0.000 0.000 0.000
P 0.500 0.500 0.500
P 0.750 0.750 0.750
Br 0.250 0.250 0.250

Values from the calculation:
E = -3.92 eV/atom
Formation energy (no corrections) = 0.581 eV per atom
Space group = F-43m (216)


Record 4
Compound: TiSb2PBr
Source: the Alexandria database
Functional: PBEsol
Structure: relaxed

Unit cell a=5.207 b=5.207 c=4.597 alpha=90.00 beta=90.00 gamma=90.00
Sites, in units of the cell vectors:
Ti 0.000 0.000 0.000
Sb 0.000 0.500 0.000
Sb 0.500 0.000 0.000
P 0.000 0.000 0.500
Br 0.500 0.500 0.500

Values from the calculation:
E = -5.01 eV/atom
Formation energy (no corrections) = 0.007 eV per atom
Space group = P4/mmm (123)


Record 5
Compound: ScPSe2Br
Source: the Alexandria database
Functional: PBEsol
Structure: relaxed

Unit cell a=5.146 b=5.146 c=4.976 alpha=90.00 beta=90.00 gamma=90.00
Sites, in units of the cell vectors:
Sc 0.000 0.000 0.000
P 0.500 0.500 0.500
Se 0.000 0.500 0.000
Se 0.500 0.000 0.000
Br 0.000 0.000 0.500

Values from the calculation:
E = -4.43 eV/atom
Formation energy (no corrections) = -0.033 eV per atom
Space group = P4/mmm (123)


Record 6
Compound: SrScPBr2
Source: the Alexandria database
Functional: PBEsol
Structure: relaxed

Unit cell a=5.485 b=5.485 c=5.730 alpha=90.00 beta=90.00 gamma=90.00
Sites, in units of the cell vectors:
Sr 0.000 0.000 0.000
Sc 0.500 0.500 0.500
P 0.000 0.000 0.500
Br 0.000 0.500 0.000
Br 0.500 0.000 0.000

Values from the calculation:
E = -3.80 eV/atom
Formation energy (no corrections) = -0.206 eV per atom
Space group = P4/mmm (123)